The following is a DFT calculation (PBEsol) of a geometry-optimized Ca2AsI structure.

Cell lengths 5.319, 5.319, 5.319 Å; angles 60.00, 60.00, 60.00 degrees
Atoms (fractional coordinates):
I: 0.500 0.500 0.500
As: 0.000 0.000 0.000
Ca: 0.250 0.250 0.250
Ca: 0.750 0.750 0.750

Calculated values
Its uncorrected formation energy is -1.090 eV/atom. For the total magnetization, the calculation gives 0.0 μB per cell. As for the symmetry: Fm-3m.

=====

The following is a DFT calculation (PBEsol) of a geometry-optimized KSrGeSb2 structure.

Cell lengths 5.922, 5.922, 5.770 Å; angles 90.00, 90.00, 90.00 degrees
Site moments in Bohr magnetons follow the coordinates.
Atoms (fractional coordinates):
Sb: 0.000 0.500 0.000  -0.01
Sb: 0.500 0.000 0.000  -0.01
Ge: 0.500 0.500 0.500  0.22
K: 0.000 0.000 0.500  0.01
Sr: 0.000 0.000 0.000  0.01

Calculated values
Its uncorrected formation energy is 0.753 eV/atom. For the total magnetization, the calculation gives 0.6 μB per cell. As for the symmetry: P4/mmm.

=====

The following is a DFT calculation (PBEsol) of a geometry-optimized MnCr2Re structure.

Cell lengths 3.640, 3.640, 4.448 Å; angles 114.15, 114.15, 90.00 degrees
Atoms (fractional coordinates):
Cr: 0.000 0.000 0.000
Cr: 0.750 0.250 0.500
Mn: 0.500 0.500 0.000
Re: 0.250 0.750 0.500

Calculated values
The value obtained for the total energy is -10.67 eV/atom. For the total magnetization, the calculation gives 0.0 μB per cell. As for the symmetry: I-4m2.

=====

The following is a DFT calculation (PBEsol) of a geometry-optimized BaY2Os structure.

Cell lengths 3.462, 3.462, 9.782 Å; angles 90.00, 90.00, 90.00 degrees
Atoms (fractional coordinates):
Ba: 0.000 0.000 0.570
Os: 0.500 0.500 0.784
Y: 0.000 0.000 0.931
Y: 0.500 0.500 0.215

Calculated values
The energy relative to the lowest polymorph listed for this composition comes out at 234 meV per atom. For the total magnetization, the calculation gives 0.0 μB per cell. As for the symmetry: P4mm.

=====

The following is a DFT calculation (PBEsol) of a geometry-optimized FeAu3Br structure.

Cell lengths 4.781, 4.781, 4.781 Å; angles 90.00, 90.00, 90.00 degrees
Site moments in Bohr magnetons follow the coordinates.
Atoms (fractional coordinates):
Au: 0.000 0.500 0.000  0.06
Au: 0.000 0.000 0.500  0.06
Au: 0.500 0.000 0.000  0.06
Fe: 0.000 0.000 0.000  2.75
Br: 0.500 0.500 0.500  -0.06

Calculated values
Its uncorrected formation energy is 0.926 eV/atom. For the total magnetization, the calculation gives 2.8 μB per cell. As for the symmetry: Pm-3m.

=====

The following is a DFT calculation (PBEsol) of a geometry-optimized SrLa2Si structure.

Cell lengths 5.418, 5.418, 5.418 Å; angles 60.00, 60.00, 60.00 degrees
Site moments in Bohr magnetons follow the coordinates.
Atoms (fractional coordinates):
La: 0.000 0.000 0.000  0.26
La: 0.750 0.750 0.750  0.18
Si: 0.500 0.500 0.500  -0.02
Sr: 0.250 0.250 0.250  0.06

Calculated values
Its uncorrected formation energy is 0.102 eV/atom. For the total magnetization, the calculation gives 0.9 μB per cell. As for the symmetry: F-43m.

=====

What did the second record say?
The following is a DFT calculation (PBEsol) of a geometry-optimized KSrGeSb2 structure.

Cell lengths 5.922, 5.922, 5.770 Å; angles 90.00, 90.00, 90.00 degrees
Site moments in Bohr magnetons follow the coordinates.
Atoms (fractional coordinates):
Sb: 0.000 0.500 0.000  -0.01
Sb: 0.500 0.000 0.000  -0.01
Ge: 0.500 0.500 0.500  0.22
K: 0.000 0.000 0.500  0.01
Sr: 0.000 0.000 0.000  0.01

Calculated values
Its uncorrected formation energy is 0.753 eV/atom. For the total magnetization, the calculation gives 0.6 μB per cell. As for the symmetry: P4/mmm.

=====

Which of these has the highest total magnetization? FeAu3Br